# 1
{
  "formula": "TiP3C",
  "functional": "PBE",
  "state": "relaxed",
  "ef_ev_per_atom": 0.711,
  "sg": "Pm-3m, No. 221",
  "de_polymorph_ev_per_fu": 0.00,
  "cell": [[4.032, 0.000, 0.000], [0.000, 4.032, 0.000], [0.000, 0.000, 4.032]],
  "species": ["Ti", "P", "P", "P", "C"],
  "frac_coords": [[0.000, 0.000, 0.000], [0.000, 0.500, 0.500], [0.500, 0.000, 0.500], [0.500, 0.500, 0.000], [0.500, 0.500, 0.500]]
}

=====

# 2
{
  "formula": "SrEuGaSi",
  "functional": "PBE",
  "state": "relaxed",
  "formation_energy_uncorrected_ev_per_atom": -0.31,
  "sg": "F-43m, No. 216",
  "cell": [[0.000, 3.776, 3.776], [3.776, 0.000, 3.776], [3.776, 3.776, 0.000]],
  "species": ["Sr", "Eu", "Ga", "Si"],
  "frac_coords": [[0.000, 0.000, 0.000], [0.500, 0.500, 0.500], [0.250, 0.250, 0.250], [0.750, 0.750, 0.750]]
}

=====

# 3
{
  "formula": "Tl3PAu",
  "functional": "PBE",
  "state": "relaxed",
  "ef_ev_per_atom": 0.495,
  "sg": "Pm-3m, No. 221",
  "de_polymorph_ev_per_fu": 0.41,
  "cell": [[5.470, 0.000, 0.000], [0.000, 5.470, 0.000], [0.000, 0.000, 5.470]],
  "species": ["Tl", "Tl", "Tl", "P", "Au"],
  "frac_coords": [[0.000, 0.000, 0.500], [0.000, 0.500, 0.000], [0.500, 0.000, 0.000], [0.500, 0.500, 0.500], [0.000, 0.000, 0.000]]
}

=====

# 4
{
  "formula": "K4NaAu",
  "functional": "PBE",
  "state": "relaxed",
  "ef_ev_per_atom": -0.082,
  "sg": "I4/mcm, No. 140",
  "de_polymorph_ev_per_fu": 0.08,
  "cell": [[-4.296, 4.296, 7.906], [4.296, -4.296, 7.906], [4.296, 4.296, -7.906]],
  "species": ["K", "K", "K", "K", "K", "K", "K", "K", "Na", "Na", "Au", "Au"],
  "frac_coords": [[0.037, 0.537, 0.858], [0.179, 0.037, 0.500], [0.321, 0.821, 0.858], [0.463, 0.321, 0.500], [0.537, 0.679, 0.500], [0.679, 0.179, 0.142], [0.821, 0.963, 0.500], [0.963, 0.463, 0.142], [0.000, 0.000, 0.000], [0.500, 0.500, 0.000], [0.250, 0.250, 0.000], [0.750, 0.750, 0.000]]
}

=====

# 5
{
  "formula": "Pm2Ga2Ag3",
  "functional": "PBE",
  "state": "relaxed",
  "ef_ev_per_atom": -0.328,
  "sg": "Cmmm, No. 65",
  "de_polymorph_ev_per_fu": 0.00,
  "cell": [[2.121, -9.846, 0.000], [2.121, 9.846, 0.000], [0.000, 0.000, 3.719]],
  "species": ["Pm", "Pm", "Ga", "Ga", "Ag", "Ag", "Ag"],
  "frac_coords": [[0.158, 0.842, 0.000], [0.842, 0.158, 0.000], [0.287, 0.713, 0.500], [0.713, 0.287, 0.500], [0.000, 0.000, 0.000], [0.431, 0.569, 0.500], [0.569, 0.431, 0.500]]
}

=====

# 6
{
  "formula": "HoZn5Au2",
  "functional": "PBE",
  "state": "relaxed",
  "ef_ev_per_atom": -0.341,
  "sg": "Immm, No. 71",
  "cell": [[-1.796, 3.912, 5.128], [1.796, -3.912, 5.128], [1.796, 3.912, -5.128]],
  "species": ["Ho", "Zn", "Zn", "Zn", "Zn", "Zn", "Au", "Au"],
  "frac_coords": [[0.000, 0.000, 0.000], [0.171, 0.370, 0.801], [0.431, 0.630, 0.801], [0.500, 0.000, 0.500], [0.569, 0.370, 0.199], [0.829, 0.630, 0.199], [0.239, 0.739, 0.500], [0.761, 0.261, 0.500]]
}

=====

# 7
{
  "formula": "Tl6Se3S",
  "functional": "PBE",
  "state": "relaxed",
  "formation_energy_uncorrected_ev_per_atom": -0.26,
  "sg": "P2_1/c, No. 14",
  "de_polymorph_ev_per_fu": 0.34,
  "cell": [[6.513, 0.000, 0.000], [0.000, 7.643, 0.000], [-6.353, 0.000, 13.099]],
  "species": ["Tl", "Tl", "Tl", "Tl", "Tl", "Tl", "Tl", "Tl", "Tl", "Tl", "Tl", "Tl", "Se", "Se", "Se", "Se", "Se", "Se", "S", "S"],
  "frac_coords": [[0.077, 0.163, 0.413], [0.077, 0.337, 0.913], [0.303, 0.654, 0.412], [0.303, 0.846, 0.912], [0.353, 0.026, 0.244], [0.353, 0.474, 0.744], [0.647, 0.526, 0.256], [0.647, 0.974, 0.756], [0.697, 0.154, 0.088], [0.697, 0.346, 0.588], [0.923, 0.663, 0.087], [0.923, 0.837, 0.587], [0.000, 0.000, 0.000], [0.000, 0.500, 0.500], [0.093, 0.135, 0.739], [0.093, 0.365, 0.239], [0.907, 0.635, 0.761], [0.907, 0.865, 0.261], [0.500, 0.000, 0.500], [0.500, 0.500, 0.000]]
}

=====

# 8
{
  "formula": "Ba2FeBr",
  "functional": "PBE",
  "state": "relaxed",
  "formation_energy_uncorrected_ev_per_atom": -0.31,
  "sg": "P4/mmm, No. 123",
  "de_polymorph_ev_per_fu": 0.00,
  "cell": [[3.949, 0.000, 0.000], [0.000, 3.949, 0.000], [0.000, 0.000, 8.709]],
  "species": ["Ba", "Ba", "Fe", "Br"],
  "frac_coords": [[0.000, 0.000, 0.225], [0.000, 0.000, 0.775], [0.500, 0.500, 0.000], [0.500, 0.500, 0.500]]
}

=====

# 9
{
  "formula": "KBe3Br",
  "functional": "PBE",
  "state": "relaxed",
  "formation_energy_uncorrected_ev_per_atom": 1.87,
  "sg": "Pm-3m, No. 221",
  "de_polymorph_ev_per_fu": 2.07,
  "cell": [[6.150, 0.000, 0.000], [0.000, 6.150, 0.000], [0.000, 0.000, 6.150]],
  "species": ["K", "Be", "Be", "Be", "Br"],
  "frac_coords": [[0.000, 0.000, 0.000], [0.000, 0.000, 0.500], [0.000, 0.500, 0.000], [0.500, 0.000, 0.000], [0.500, 0.500, 0.500]]
}

=====

# 10
{
  "formula": "InPt3W",
  "functional": "PBE",
  "state": "relaxed",
  "ef_ev_per_atom": 0.876,
  "sg": "Pm-3m, No. 221",
  "de_polymorph_ev_per_fu": 0.00,
  "cell": [[4.901, 0.000, 0.000], [0.000, 4.901, 0.000], [0.000, 0.000, 4.901]],
  "species": ["In", "Pt", "Pt", "Pt", "W"],
  "frac_coords": [[0.000, 0.000, 0.000], [0.000, 0.500, 0.500], [0.500, 0.000, 0.500], [0.500, 0.500, 0.000], [0.500, 0.500, 0.500]]
}

=====

# 11
{
  "formula": "AcTb2Pm4Tm",
  "functional": "PBE",
  "state": "relaxed",
  "ef_ev_per_atom": 0.127,
  "sg": "P4/mmm, No. 123",
  "cell": [[5.957, 0.000, 0.000], [0.000, 5.957, 0.000], [0.000, 0.000, 7.791]],
  "species": ["Ac", "Tb", "Tb", "Pm", "Pm", "Pm", "Pm", "Tm"],
  "frac_coords": [[0.000, 0.000, 0.000], [0.000, 0.000, 0.500], [0.500, 0.500, 0.000], [0.000, 0.500, 0.271], [0.000, 0.500, 0.729], [0.500, 0.000, 0.271], [0.500, 0.000, 0.729], [0.500, 0.500, 0.500]]
}

=====

# 12
{
  "formula": "Sc2TcC2",
  "functional": "PBE",
  "state": "relaxed",
  "ef_ev_per_atom": -0.469,
  "sg": "Pnma, No. 62",
  "de_polymorph_ev_per_fu": 0.00,
  "cell": [[6.260, 0.000, 0.000], [0.000, 4.748, 0.000], [0.000, 0.000, 9.361]],
  "species": ["Sc", "Sc", "Sc", "Sc", "Sc", "Sc", "Sc", "Sc", "Tc", "Tc", "Tc", "Tc", "C", "C", "C", "C", "C", "C", "C", "C"],
  "frac_coords": [[0.048, 0.250, 0.220], [0.160, 0.250, 0.565], [0.340, 0.750, 0.065], [0.452, 0.750, 0.720], [0.548, 0.250, 0.280], [0.660, 0.250, 0.935], [0.840, 0.750, 0.435], [0.952, 0.750, 0.780], [0.194, 0.250, 0.879], [0.306, 0.750, 0.379], [0.694, 0.250, 0.621], [0.806, 0.750, 0.121], [0.074, 0.750, 0.243], [0.163, 0.750, 0.564], [0.337, 0.250, 0.064], [0.426, 0.250, 0.743], [0.574, 0.750, 0.257], [0.663, 0.750, 0.936], [0.837, 0.250, 0.436], [0.926, 0.250, 0.757]]
}

=====

no.,final energy (eV/cell),DOS at the Fermi energy (states/eV/cell),mass density (g/cm3)
1,-29.80,3.440,3.9
2,-21.65,3.196,5.2
3,-13.31,3.596,8.5
4,-18.95,6.226,2.1
5,-26.40,1.985,8.0
6,-20.23,2.979,10.2
7,-62.75,11.081,7.6
8,-15.24,5.899,5.0
9,-4.61,0.000,1.0
10,-29.44,5.076,12.5
11,-35.83,18.022,7.8
12,-175.28,8.012,5.1